1.
Below is a relaxed structure of BaScCd, with properties calculated at the GGA-PBE level.

Geometry as POSCAR:
```
BaScCd
1.0
5.342 0.000 0.000
-2.671 4.626 0.000
0.000 0.000 4.117
Ba Sc Cd
1 1 1
direct
0.000 0.000 0.000 Ba
0.333 0.667 0.500 Sc
0.667 0.333 0.500 Cd
```

Calculated values
- uncorrected energy (eV/atom) = -2.967
- excess energy over the best structure of this formula in the dataset (meV/atom) = 192
- formation energy (eV/atom) = 0.090
- symmetry = No. 187



2.
Below is a relaxed structure of Ba2ScCd3Sn4, with properties calculated at the GGA-PBE level.

Geometry as POSCAR:
```
Ba2ScCd3Sn4
1.0
4.937 0.000 0.000
0.000 4.937 0.000
0.000 0.000 12.380
Ba Sc Cd Sn
2 1 3 4
direct
0.000 0.500 0.242 Ba
0.500 0.000 0.758 Ba
0.000 0.000 0.500 Sc
0.000 0.500 0.865 Cd
0.500 0.000 0.135 Cd
0.500 0.500 0.500 Cd
0.000 0.000 0.000 Sn
0.000 0.500 0.633 Sn
0.500 0.000 0.367 Sn
0.500 0.500 0.000 Sn
```

Calculated values
- uncorrected energy (eV/atom) = -3.363
- formation energy (eV/atom) = -0.470
- symmetry = No. 115



Question: Number 1 is which compound?
Answer: BaScCd



Question: Among the records above, which one has the highest formation energy?
Answer: BaScCd



Repeat the second record exactly.
Below is a relaxed structure of Ba2ScCd3Sn4, with properties calculated at the GGA-PBE level.

Geometry as POSCAR:
```
Ba2ScCd3Sn4
1.0
4.937 0.000 0.000
0.000 4.937 0.000
0.000 0.000 12.380
Ba Sc Cd Sn
2 1 3 4
direct
0.000 0.500 0.242 Ba
0.500 0.000 0.758 Ba
0.000 0.000 0.500 Sc
0.000 0.500 0.865 Cd
0.500 0.000 0.135 Cd
0.500 0.500 0.500 Cd
0.000 0.000 0.000 Sn
0.000 0.500 0.633 Sn
0.500 0.000 0.367 Sn
0.500 0.500 0.000 Sn
```

Calculated values
- uncorrected energy (eV/atom) = -3.363
- formation energy (eV/atom) = -0.470
- symmetry = No. 115



Please write out number 1 again, unchanged.
Below is a relaxed structure of BaScCd, with properties calculated at the GGA-PBE level.

Geometry as POSCAR:
```
BaScCd
1.0
5.342 0.000 0.000
-2.671 4.626 0.000
0.000 0.000 4.117
Ba Sc Cd
1 1 1
direct
0.000 0.000 0.000 Ba
0.333 0.667 0.500 Sc
0.667 0.333 0.500 Cd
```

Calculated values
- uncorrected energy (eV/atom) = -2.967
- excess energy over the best structure of this formula in the dataset (meV/atom) = 192
- formation energy (eV/atom) = 0.090
- symmetry = No. 187